[1]
{
  "formula": "Lu2HfIn",
  "functional": "PBE-GGA",
  "state": "optimized geometry",
  "lattice_angstrom": [[4.479, -1.839, 1.824], [0.575, -5.078, 0.804], [3.103, -2.771, -3.076]],
  "species": ["Lu", "Lu", "Hf", "In"],
  "frac_coords": [[0.000, 0.000, 0.000], [0.750, 0.750, 0.750], [0.250, 0.250, 0.250], [0.500, 0.500, 0.500]],
  "total_magnetization_mub_per_cell": 0.82,
  "e_tot_ev_per_cell": -21.6,
  "spacegroup": "No. 216"
}

[2]
{
  "formula": "YAgHg2",
  "functional": "PBE-GGA",
  "state": "optimized geometry",
  "lattice_angstrom": [[4.551, 0.000, 0.000], [0.000, 4.551, 0.000], [0.000, 0.000, 4.497]],
  "species": ["Ag", "Hg", "Hg", "Y"],
  "frac_coords": [[0.000, 0.000, 0.000], [0.500, 0.000, 0.500], [0.000, 0.500, 0.500], [0.500, 0.500, 0.000]],
  "total_magnetization_mub_per_cell": 0.00,
  "formation_energy_mev_per_atom": -261,
  "spacegroup": "No. 123"
}